Density functional theory data (PBE) for a geometry-optimized CaCuCl2 structure.

Cell and atoms, written as POSCAR:
```
CaCuCl2
1.0
4.6115 0.0000 0.0000
0.0000 4.6115 0.0000
0.0000 0.0000 3.7345
Ca Cu Cl
1 1 2
Direct
0.0000 0.0000 0.0000
0.5000 0.5000 0.0000
0.0000 0.5000 0.5000
0.5000 0.0000 0.5000
```

crystal system: tetragonal
formation energy (no corrections): -0.94 eV/atom
calculated total energy: -13.55 eV per cell
N(E_F): 0.231 states/eV/atom